{"formula": "CuTe2Cl", "functional": "GGA-PBEsol", "state": "optimized geometry", "magmom_total_mub_per_fu": 0.0, "n_ef_per_ev_cell": 0.8, "formation_energy_uncorrected_ev_per_atom": -0.18, "cell": [[-1.5017, 0.8166, 3.4947], [-0.6468, -4.4713, 0.7668], [5.2323, 1.7722, 1.8342]], "species": ["Cl", "Te", "Te", "Cu"], "frac_coords": [[0.5000, 0.5000, 0.5000], [0.0000, 0.1279, 0.8195], [0.0000, 0.8721, 0.1805], [0.5000, 0.5000, 0.0000]]}